No. 1
Compound: Ca5HgBi4
Source: Alexandria
Functional: GGA-PBE
Structure: optimized geometry

Cell and atoms, written as POSCAR:
```
Ca5HgBi4
1.0
-0.922 0.358 -6.424
-4.689 -5.695 -2.932
-6.251 4.397 -2.146
Ca Hg Bi
5 1 4
Direct
0.879 0.412 0.776
0.291 0.776 0.588
0.654 0.224 0.412
0.067 0.588 0.224
0.622 0.000 0.000
0.124 0.000 0.000
0.362 0.387 0.826
0.749 0.826 0.613
0.188 0.174 0.387
0.575 0.613 0.174
```

## Properties
Spin magnetization ... 0.00 μB per formula unit
D(E_F) ... 13.57 states/eV/f.u.
Uncorrected energy ... -31.8 eV/f.u.
Symmetry ... No. 79

No. 2
Compound: Ca4Hg4Bi5
Source: Alexandria
Functional: GGA-PBE
Structure: optimized geometry

Cell and atoms, written as POSCAR:
```
Ca4Hg4Bi5
1.0
-3.671 1.112 -2.792
-1.315 -7.487 -5.284
-7.480 -2.760 4.706
Ca Hg Bi
4 4 5
Direct
0.771 0.352 0.107
0.229 0.648 0.893
0.877 0.893 0.352
0.123 0.107 0.648
0.916 0.480 0.688
0.604 0.312 0.480
0.084 0.520 0.312
0.396 0.688 0.520
0.708 0.852 0.732
0.292 0.148 0.268
0.000 0.000 0.000
0.560 0.732 0.148
0.440 0.268 0.852
```

## Properties
Spin magnetization ... 0.00 μB per formula unit
D(E_F) ... 5.91 states/eV/f.u.
Uncorrected energy ... -34.2 eV/f.u.
Symmetry ... No. 87

No. 3
Compound: CaHgBi
Source: Alexandria
Functional: GGA-PBE
Structure: optimized geometry

Cell and atoms, written as POSCAR:
```
CaHgBi
1.0
-2.187 -2.868 1.734
0.898 -2.496 -2.996
5.063 0.974 3.378
Ca Bi Hg
1 1 1
Direct
0.291 0.291 0.582
0.608 0.608 0.217
0.951 0.951 0.901
```

## Properties
Spin magnetization ... 0.00 μB per formula unit
D(E_F) ... 1.88 states/eV/f.u.
E above lowest polymorph ... 66 meV/atom
Symmetry ... No. 107

No. 4
Compound: Ca4Hg5Bi
Source: Alexandria
Functional: GGA-PBE
Structure: optimized geometry

Cell and atoms, written as POSCAR:
```
Ca4Hg5Bi
1.0
5.014 0.000 -1.719
-0.579 6.400 -1.688
0.110 0.019 8.493
Ca Hg Bi
4 5 1
Direct
0.693 0.310 0.387
0.096 0.864 0.191
0.307 0.690 0.613
0.904 0.136 0.809
0.287 0.175 0.574
0.106 0.399 0.211
0.894 0.601 0.789
0.500 0.500 0.000
0.713 0.825 0.426
0.500 0.000 0.000
```

## Properties
Spin magnetization ... 0.00 μB per formula unit
D(E_F) ... 4.44 states/eV/f.u.
E above lowest polymorph ... 0 meV/atom
Symmetry ... No. 12

No. 5
Compound: Ca3HgBi
Source: Alexandria
Functional: GGA-PBE
Structure: optimized geometry

Cell and atoms, written as POSCAR:
```
Ca3HgBi
1.0
-5.370 -0.471 -2.654
2.153 -4.309 -3.592
-1.622 -4.161 4.020
Ca Bi Hg
3 1 1
Direct
0.000 0.500 0.000
0.000 0.000 0.500
0.500 0.000 0.000
0.000 0.000 0.000
0.500 0.500 0.500
```

## Properties
Spin magnetization ... 0.00 μB per formula unit
D(E_F) ... 4.36 states/eV/f.u.
E above lowest polymorph ... 266 meV/atom
Symmetry ... No. 221

No. 6
Compound: CaHg2Bi2
Source: Alexandria
Functional: GGA-PBE
Structure: optimized geometry

Cell and atoms, written as POSCAR:
```
CaHg2Bi2
1.0
-4.364 -2.859 1.120
0.435 -4.765 2.361
-1.665 -0.014 6.419
Ca Hg Bi
1 2 2
Direct
0.000 0.500 0.000
0.601 0.101 0.200
0.399 0.899 0.800
0.207 0.707 0.380
0.793 0.293 0.620
```

## Properties
Spin magnetization ... 0.00 μB per formula unit
D(E_F) ... 1.49 states/eV/f.u.
E above lowest polymorph ... 0 meV/atom
Symmetry ... No. 12

No. 7
Compound: Ca2Hg8Bi
Source: Alexandria
Functional: GGA-PBE
Structure: optimized geometry

Cell and atoms, written as POSCAR:
```
Ca2Hg8Bi
1.0
4.817 0.000 0.000
0.000 4.817 0.000
0.000 0.000 13.011
Ca Hg Bi
2 8 1
Direct
0.000 0.000 0.321
0.000 0.000 0.679
0.000 0.500 0.500
0.500 0.000 0.500
0.500 0.500 0.325
0.500 0.500 0.675
0.000 0.500 0.156
0.500 0.000 0.156
0.000 0.500 0.844
0.500 0.000 0.844
0.000 0.000 0.000
```

## Properties
Spin magnetization ... 0.00 μB per formula unit
D(E_F) ... 2.44 states/eV/f.u.
E above lowest polymorph ... 0 meV/atom
Symmetry ... No. 123

No. 8
Compound: Ca2HgBi2
Source: Alexandria
Functional: GGA-PBE
Structure: optimized geometry

Cell and atoms, written as POSCAR:
```
Ca2HgBi2
1.0
-1.076 -5.750 1.568
3.851 0.545 4.642
-2.498 -1.046 6.146
Ca Bi Hg
2 2 1
Direct
0.750 0.250 0.500
0.250 0.750 0.500
0.353 0.353 0.294
0.647 0.647 0.706
0.000 0.000 0.000
```

## Properties
Spin magnetization ... 0.00 μB per formula unit
D(E_F) ... 0.48 states/eV/f.u.
Uncorrected energy ... -14.3 eV/f.u.
Symmetry ... No. 139

No. 9
Compound: Ca3Hg3Bi4
Source: Alexandria
Functional: GGA-PBE
Structure: optimized geometry

Cell and atoms, written as POSCAR:
```
Ca3Hg3Bi4
1.0
-0.089 5.968 -7.022
-1.365 -8.533 -3.203
-6.700 2.156 5.949
Ca Hg Bi
6 6 8
Direct
0.625 0.750 0.875
0.875 0.250 0.625
0.125 0.375 0.250
0.375 0.125 0.750
0.250 0.875 0.125
0.750 0.625 0.375
0.125 0.750 0.375
0.375 0.250 0.125
0.625 0.875 0.250
0.875 0.625 0.750
0.250 0.375 0.625
0.750 0.125 0.875
0.000 0.000 0.319
0.500 0.319 0.500
0.681 0.181 0.181
0.000 0.000 0.819
0.819 0.500 0.000
0.500 0.819 0.500
0.319 0.500 0.000
0.181 0.681 0.681
```

## Properties
Spin magnetization ... 0.00 μB per formula unit
D(E_F) ... 1.35 states/eV/f.u.
Uncorrected energy ... -26.8 eV/f.u.
Symmetry ... No. 220

No. 10
Compound: CaHgBi3
Source: Alexandria
Functional: GGA-PBE
Structure: optimized geometry

Cell and atoms, written as POSCAR:
```
CaHgBi3
1.0
-2.496 1.685 -5.045
-3.644 -4.602 0.265
-3.875 3.241 3.000
Ca Bi Hg
1 3 1
Direct
0.000 0.000 0.000
0.000 0.500 0.000
0.000 0.000 0.500
0.500 0.000 0.000
0.500 0.500 0.500
```

## Properties
Spin magnetization ... 0.00 μB per formula unit
D(E_F) ... 2.79 states/eV/f.u.
E above lowest polymorph ... 720 meV/atom
Symmetry ... No. 221

No. 11
Compound: Ca2Hg4Bi
Source: Alexandria
Functional: GGA-PBE
Structure: optimized geometry

Cell and atoms, written as POSCAR:
```
Ca2Hg4Bi
1.0
11.261 0.000 0.000
0.000 6.361 -2.943
0.000 -0.993 6.199
Ca Hg Bi
4 8 2
Direct
0.000 0.680 0.361
0.000 0.320 0.639
0.500 0.820 0.639
0.500 0.180 0.361
0.777 0.501 0.000
0.750 0.501 0.500
0.750 0.001 0.500
0.723 0.001 0.000
0.277 0.999 0.000
0.250 0.999 0.500
0.250 0.499 0.500
0.223 0.499 0.000
0.000 0.000 0.000
0.500 0.500 0.000
```

## Properties
Spin magnetization ... 0.00 μB per formula unit
D(E_F) ... 2.73 states/eV/f.u.
E above lowest polymorph ... 0 meV/atom
Symmetry ... No. 64

No. 12
Compound: CaHoHgBi
Source: Alexandria
Functional: GGA-PBE
Structure: optimized geometry

Cell and atoms, written as POSCAR:
```
CaHoHgBi
1.0
-2.829 -0.815 4.562
-1.469 -5.030 1.422
2.351 -2.414 4.258
Ho Ca Bi Hg
1 1 1 1
Direct
0.250 0.250 0.250
0.750 0.750 0.750
0.000 0.000 0.000
0.500 0.500 0.500
```

## Properties
Spin magnetization ... 0.00 μB per formula unit
D(E_F) ... 5.11 states/eV/f.u.
Uncorrected energy ... -12.9 eV/f.u.
Symmetry ... No. 216